A plane-wave DFT calculation with PBE was carried out for a geometry-optimized Pr12Co5Ag structure.

Properties
Symmetry: Immm (71)
Crystal system: orthorhombic
ΔH_f (0 K) in eV per atom: -0.07

```
Pr12Co5Ag
1.0
-4.9167 5.0082 5.0378
4.9167 -5.0082 5.0378
4.9167 5.0082 -5.0378
Pr Co Ag
12 5 1
Direct
0.0103 0.2001 0.8102
0.1828 0.2978 0.4806
0.1828 0.7022 0.8850
0.3183 0.0111 0.6928
0.3183 0.6256 0.3072
0.3899 0.2001 0.1898
0.6101 0.7999 0.8102
0.6817 0.3744 0.6928
0.6817 0.9889 0.3072
0.8172 0.2978 0.1150
0.8172 0.7022 0.5194
0.9897 0.7999 0.1898
0.0000 0.0000 0.0000
0.1130 0.6130 0.5000
0.3759 0.0000 0.3759
0.6241 0.0000 0.6241
0.8870 0.3870 0.5000
0.5000 0.5000 0.0000
```